An optimized crystal structure of TaTiNi. Source: Alexandria via LeMat-Bulk, functional PBE.

Lattice parameters (Å, degrees): 4.405 4.405 2.757 90.00 90.00 120.00
Sites, in units of the cell vectors:
Ta1 0.000 0.000 0.000
Ti1 0.667 0.333 0.427
Ni1 0.333 0.667 0.740

Values from the calculation:
Space-group type: No. 156
Calculated formation energy (eV per atom): 0.097
ΔE to the lowest computed polymorph (meV per atom): 359.7
Calculated volume (Å³/f.u.): 46.3

---

An optimized crystal structure of DySn4Pd2. Source: Alexandria via LeMat-Bulk, functional PBE.

Lattice parameters (Å, degrees): 19.021 4.419 7.556 90.00 90.00 90.00
Sites, in units of the cell vectors:
Dy1 0.144 0.250 0.037
Dy2 0.356 0.750 0.537
Dy3 0.644 0.250 0.463
Dy4 0.856 0.750 0.963
Sn1 0.034 0.750 0.869
Sn2 0.066 0.250 0.493
Sn3 0.182 0.750 0.329
Sn4 0.192 0.750 0.754
Sn5 0.308 0.250 0.254
Sn6 0.318 0.250 0.829
Sn7 0.434 0.750 0.993
Sn8 0.466 0.250 0.369
Sn9 0.534 0.750 0.631
Sn10 0.566 0.250 0.007
Sn11 0.682 0.750 0.171
Sn12 0.692 0.750 0.746
Sn13 0.808 0.250 0.246
Sn14 0.818 0.250 0.671
Sn15 0.934 0.750 0.507
Sn16 0.966 0.250 0.131
Pd1 0.041 0.750 0.237
Pd2 0.217 0.250 0.548
Pd3 0.283 0.750 0.048
Pd4 0.459 0.250 0.737
Pd5 0.541 0.750 0.263
Pd6 0.717 0.250 0.952
Pd7 0.783 0.750 0.452
Pd8 0.959 0.250 0.763

Values from the calculation:
Space-group type: No. 62
Calculated formation energy (eV per atom): -0.539
Calculated volume (Å³/f.u.): 158.8

---

| no. | mass density (Mg/m³) |
| --- | --- |
| 1 | 10.3 |
| 2 | 8.9 |